PmFe2AsO6 after structural relaxation, computed with PBE+U.

Summary:
- Total DFT energy (no corrections): -6.870 eV per atom
- Theoretical density: 5910 kg/m³

Structure (extended XYZ):
```
10
Lattice="5.362 0.000 0.000 2.670 4.658 0.000 2.675 1.495 4.811" Properties=species:S:1:pos:R:3 pbc="T T T"
Pm 0.000 0.000 0.000
Fe 2.651 1.539 1.811
Fe 7.967 4.613 4.008
As 5.327 3.099 2.164
O 4.603 4.553 3.099
O 3.858 2.988 0.958
O 4.462 1.754 3.128
O 5.949 4.413 0.908
O 6.949 3.042 3.118
O 6.160 1.897 0.954
```